[1]
This record from the Alexandria database describes a relaxed structure of Cs3InBr. The functional is PBE.

Cell lengths 6.960, 6.960, 6.960 Å; angles 90.00, 90.00, 90.00 degrees
Space group Pm-3m (No. 221)
Inequivalent atoms, fractional coordinates:
Cs (0.000, 0.000, 0.500) [3 per cell]
In (0.500, 0.500, 0.500) [1 per cell]
Br (0.000, 0.000, 0.000) [1 per cell]

## Properties
- Formation energy without anion corrections: -0.547 eV/atom
- Density of states at the Fermi level: 6.5 states/eV per cell
- Spin magnetization: 1.32 μB per cell

***

[2]
This record from the Alexandria database describes a relaxed structure of Ca3Ge8Rh3. The functional is PBE.

Cell lengths 15.871, 4.431, 8.619 Å; angles 90.00, 118.59, 90.00 degrees
Space group C2/m (No. 12)
Inequivalent atoms, fractional coordinates:
Ca (0.000, 0.000, 0.000) [2 per cell]
Ca (0.213, 0.500, 0.681) [4 per cell]
Ge (0.016, 0.500, 0.696) [4 per cell]
Ge (0.129, 0.000, 0.413) [4 per cell]
Ge (0.140, 0.500, 0.257) [4 per cell]
Ge (0.144, 0.000, 0.850) [4 per cell]
Rh (0.000, 0.000, 0.500) [2 per cell]
Rh (0.178, 0.500, 0.008) [4 per cell]

## Properties
- DFT formation energy: -0.499 eV per atom
- Density of states at the Fermi level: 10.1 states/eV per cell
- Spin magnetization: 0.00 μB per cell

***

[3]
This record from the Alexandria database describes a relaxed structure of LiCdPt2. The functional is PBE.

Cell lengths 2.8358, 2.8358, 27.3721 Å; angles 90.00, 90.00, 120.00 degrees
Space group R-3m (No. 166, hexagonal axes)
Inequivalent atoms, fractional coordinates:
Li (0.0000, 0.0000, 0.0000) [3 per cell]
Cd (0.0000, 0.0000, 0.5000) [3 per cell]
Pt (0.0000, 0.0000, 0.2555) [6 per cell]

## Properties
- DFT formation energy: -0.338 eV per atom
- Density of states at the Fermi level: 6.7 states/eV per cell
- Spin magnetization: 0.00 μB per cell

***

[4]
This record from the Alexandria database describes a relaxed structure of Ti3CdN. The functional is PBE.

Cell lengths 5.2872, 5.2872, 20.9758 Å; angles 90.00, 90.00, 120.00 degrees
Space group R-3 (No. 148, hexagonal axes)
Inequivalent atoms, fractional coordinates:
Ti (0.0049, 0.3262, 0.2810) [18 per cell]
Cd (0.0000, 0.0000, 0.1645) [6 per cell]
N (0.0000, 0.0000, 0.3370) [6 per cell]

## Properties
- Formation energy without anion corrections: -0.593 eV/atom
- Density of states at the Fermi level: 32.1 states/eV per cell
- Spin magnetization: 0.00 μB per cell